The following is a DFT calculation (PBE-GGA) of an optimized crystal structure of PaInAg.

CIF file:
```
data_PaInAg
_chemical_formula_sum 'Pa1 In1 Ag1'
_symmetry_space_group_name_H-M 'P 1'
_symmetry_Int_Tables_number 1
_symmetry_space_group_name_Hall 'P 1'
_cell_length_a 4.987
_cell_length_b 4.987
_cell_length_c 4.987
_cell_angle_alpha 60.00
_cell_angle_beta 60.00
_cell_angle_gamma 60.00
loop_
_atom_site_label
_atom_site_fract_x
_atom_site_fract_y
_atom_site_fract_z
_atom_site_occupancy
In1 0.750 0.750 0.750 1
Pa1 0.000 0.000 0.000 1
Ag1 0.250 0.250 0.250 1
```

Values from the calculation:
V in Å³/f.u.: 87.70
Raw total energy in eV per formula unit: -13.0
Density in g/cm3: 8.6
Size of the total moment in μB/atom: 0.248

The following is a DFT calculation (PBE-GGA) of an optimized crystal structure of PaInAg.

CIF file:
```
data_PaInAg
_chemical_formula_sum 'Pa1 In1 Ag1'
_symmetry_space_group_name_H-M 'P 1'
_symmetry_Int_Tables_number 1
_symmetry_space_group_name_Hall 'P 1'
_cell_length_a 4.800
_cell_length_b 4.800
_cell_length_c 4.800
_cell_angle_alpha 60.00
_cell_angle_beta 60.00
_cell_angle_gamma 60.00
loop_
_atom_site_label
_atom_site_fract_x
_atom_site_fract_y
_atom_site_fract_z
_atom_site_occupancy
Pa1 0.750 0.750 0.750 1
Ag1 0.000 0.000 0.000 1
In1 0.250 0.250 0.250 1
```

Values from the calculation:
V in Å³/f.u.: 78.19
Raw total energy in eV per formula unit: -14.5
Density in g/cm3: 9.6
Size of the total moment in μB/atom: 0.315

The following is a DFT calculation (PBE-GGA) of an optimized crystal structure of InAgPb2.

CIF file:
```
data_InAgPb2
_chemical_formula_sum 'In1 Ag1 Pb2'
_symmetry_space_group_name_H-M 'P 1'
_symmetry_Int_Tables_number 1
_symmetry_space_group_name_Hall 'P 1'
_cell_length_a 5.346
_cell_length_b 5.346
_cell_length_c 5.346
_cell_angle_alpha 60.00
_cell_angle_beta 60.00
_cell_angle_gamma 60.00
loop_
_atom_site_label
_atom_site_fract_x
_atom_site_fract_y
_atom_site_fract_z
_atom_site_occupancy
Pb1 0.250 0.250 0.250 1
Pb2 0.500 0.500 0.500 1
Ag1 0.750 0.750 0.750 1
In1 0.000 0.000 0.000 1
```

Values from the calculation:
V in Å³/f.u.: 108.01
Raw total energy in eV per formula unit: -12.6
Density in g/cm3: 9.8

The following is a DFT calculation (PBE-GGA) of an optimized crystal structure of InAgPbSeS2.

CIF file:
```
data_InAgPbSeS2
_chemical_formula_sum 'In2 Ag2 Pb2 Se2 S4'
_symmetry_space_group_name_H-M 'P 1'
_symmetry_Int_Tables_number 1
_symmetry_space_group_name_Hall 'P 1'
_cell_length_a 7.113
_cell_length_b 7.113
_cell_length_c 11.303
_cell_angle_alpha 90.00
_cell_angle_beta 90.00
_cell_angle_gamma 149.24
loop_
_atom_site_label
_atom_site_fract_x
_atom_site_fract_y
_atom_site_fract_z
_atom_site_occupancy
In1 0.781 0.219 0.250 1
Pb1 0.000 0.000 0.000 1
S1 0.652 0.348 0.908 1
Ag1 0.485 0.515 0.250 1
Se1 0.124 0.876 0.250 1
Pb2 0.000 0.000 0.500 1
Se2 0.876 0.124 0.750 1
S2 0.652 0.348 0.592 1
S3 0.348 0.652 0.408 1
S4 0.348 0.652 0.092 1
Ag2 0.515 0.485 0.750 1
In2 0.219 0.781 0.750 1
```

Values from the calculation:
V in Å³/f.u.: 146.24
Raw total energy in eV per formula unit: -22.4
Density in g/cm3: 6.5

The following is a DFT calculation (PBE-GGA) of an optimized crystal structure of InAgTePbS2.

CIF file:
```
data_InAgTePbS2
_chemical_formula_sum 'In2 Ag2 Te2 Pb2 S4'
_symmetry_space_group_name_H-M 'P 1'
_symmetry_Int_Tables_number 1
_symmetry_space_group_name_Hall 'P 1'
_cell_length_a 7.515
_cell_length_b 7.515
_cell_length_c 11.639
_cell_angle_alpha 90.00
_cell_angle_beta 90.00
_cell_angle_gamma 150.66
loop_
_atom_site_label
_atom_site_fract_x
_atom_site_fract_y
_atom_site_fract_z
_atom_site_occupancy
Pb1 0.500 0.500 0.000 1
S1 0.140 0.860 0.405 1
S2 0.140 0.860 0.095 1
In1 0.302 0.698 0.750 1
Ag1 0.010 0.990 0.250 1
In2 0.698 0.302 0.250 1
Te1 0.630 0.370 0.750 1
Te2 0.370 0.630 0.250 1
S3 0.860 0.140 0.905 1
Ag2 0.990 0.010 0.750 1
Pb2 0.500 0.500 0.500 1
S4 0.860 0.140 0.595 1
```

Values from the calculation:
V in Å³/f.u.: 161.06
Raw total energy in eV per formula unit: -21.9
Density in g/cm3: 6.4

The following is a DFT calculation (PBE-GGA) of an optimized crystal structure of InAg3PbSe4.

CIF file:
```
data_InAg3PbSe4
_chemical_formula_sum 'In1 Ag3 Pb1 Se4'
_symmetry_space_group_name_H-M 'P 1'
_symmetry_Int_Tables_number 1
_symmetry_space_group_name_Hall 'P 1'
_cell_length_a 6.343
_cell_length_b 6.343
_cell_length_c 6.343
_cell_angle_alpha 90.00
_cell_angle_beta 90.00
_cell_angle_gamma 90.00
loop_
_atom_site_label
_atom_site_fract_x
_atom_site_fract_y
_atom_site_fract_z
_atom_site_occupancy
Se1 0.239 0.761 0.761 1
Pb1 0.500 0.500 0.500 1
In1 0.000 0.000 0.000 1
Ag1 0.500 0.500 0.000 1
Se2 0.761 0.239 0.761 1
Ag2 0.500 0.000 0.500 1
Ag3 0.000 0.500 0.500 1
Se3 0.761 0.761 0.239 1
Se4 0.239 0.239 0.239 1
```

Values from the calculation:
V in Å³/f.u.: 255.16
Raw total energy in eV per formula unit: -30.7
Density in g/cm3: 6.3

The following is a DFT calculation (PBE-GGA) of an optimized crystal structure of InAgPbSe3.

CIF file:
```
data_InAgPbSe3
_chemical_formula_sum 'In2 Ag2 Pb2 Se6'
_symmetry_space_group_name_H-M 'P 1'
_symmetry_Int_Tables_number 1
_symmetry_space_group_name_Hall 'P 1'
_cell_length_a 7.266
_cell_length_b 7.266
_cell_length_c 11.190
_cell_angle_alpha 90.00
_cell_angle_beta 90.00
_cell_angle_gamma 147.69
loop_
_atom_site_label
_atom_site_fract_x
_atom_site_fract_y
_atom_site_fract_z
_atom_site_occupancy
Se1 0.365 0.635 0.478 1
In1 0.000 0.000 0.000 1
Se2 0.958 0.042 0.750 1
Se3 0.635 0.365 0.978 1
Se4 0.042 0.958 0.250 1
Ag1 0.632 0.368 0.750 1
Se5 0.635 0.365 0.522 1
Se6 0.365 0.635 0.022 1
Ag2 0.368 0.632 0.250 1
Pb1 0.689 0.311 0.250 1
In2 0.000 0.000 0.500 1
Pb2 0.311 0.689 0.750 1
```

Values from the calculation:
V in Å³/f.u.: 157.85
Raw total energy in eV per formula unit: -22.0
Density in g/cm3: 7.0

The following is a DFT calculation (PBE-GGA) of an optimized crystal structure of InAgPbSe3.

CIF file:
```
data_InAgPbSe3
_chemical_formula_sum 'In2 Ag2 Pb2 Se6'
_symmetry_space_group_name_H-M 'P 1'
_symmetry_Int_Tables_number 1
_symmetry_space_group_name_Hall 'P 1'
_cell_length_a 3.903
_cell_length_b 7.177
_cell_length_c 11.308
_cell_angle_alpha 90.00
_cell_angle_beta 90.00
_cell_angle_gamma 74.22
loop_
_atom_site_label
_atom_site_fract_x
_atom_site_fract_y
_atom_site_fract_z
_atom_site_occupancy
Se1 0.885 0.231 0.250 1
Se2 0.341 0.318 0.918 1
Pb1 0.000 0.000 0.500 1
In1 0.230 0.539 0.250 1
Se3 0.341 0.318 0.582 1
Se4 0.115 0.769 0.750 1
Ag1 0.521 0.958 0.250 1
In2 0.770 0.461 0.750 1
Se5 0.659 0.682 0.418 1
Se6 0.659 0.682 0.082 1
Pb2 0.000 0.000 0.000 1
Ag2 0.479 0.042 0.750 1
```

Values from the calculation:
V in Å³/f.u.: 152.41
Raw total energy in eV per formula unit: -21.3
Density in g/cm3: 7.3

The following is a DFT calculation (PBE-GGA) of an optimized crystal structure of InAgTePbSe2.

CIF file:
```
data_InAgTePbSe2
_chemical_formula_sum 'In2 Ag2 Te2 Pb2 Se4'
_symmetry_space_group_name_H-M 'P 1'
_symmetry_Int_Tables_number 1
_symmetry_space_group_name_Hall 'P 1'
_cell_length_a 7.542
_cell_length_b 7.542
_cell_length_c 11.561
_cell_angle_alpha 90.00
_cell_angle_beta 90.00
_cell_angle_gamma 149.96
loop_
_atom_site_label
_atom_site_fract_x
_atom_site_fract_y
_atom_site_fract_z
_atom_site_occupancy
Se1 0.652 0.348 0.917 1
Ag1 0.520 0.480 0.750 1
Pb1 0.000 0.000 0.000 1
Se2 0.652 0.348 0.583 1
Se3 0.348 0.652 0.083 1
Te1 0.880 0.120 0.750 1
Pb2 0.000 0.000 0.500 1
In1 0.209 0.791 0.750 1
In2 0.791 0.209 0.250 1
Ag2 0.480 0.520 0.250 1
Te2 0.120 0.880 0.250 1
Se4 0.348 0.652 0.417 1
```

Values from the calculation:
V in Å³/f.u.: 164.60
Raw total energy in eV per formula unit: -20.7
Density in g/cm3: 7.2

The following is a DFT calculation (PBE-GGA) of an optimized crystal structure of InAgTe2PbSe.

CIF file:
```
data_InAgTe2PbSe
_chemical_formula_sum 'In2 Ag2 Te4 Pb2 Se2'
_symmetry_space_group_name_H-M 'P 1'
_symmetry_Int_Tables_number 1
_symmetry_space_group_name_Hall 'P 1'
_cell_length_a 7.484
_cell_length_b 7.484
_cell_length_c 11.570
_cell_angle_alpha 90.00
_cell_angle_beta 90.00
_cell_angle_gamma 148.55
loop_
_atom_site_label
_atom_site_fract_x
_atom_site_fract_y
_atom_site_fract_z
_atom_site_occupancy
In1 0.256 0.744 0.250 1
Te1 0.667 0.333 0.427 1
Se1 0.904 0.096 0.250 1
Pb1 0.000 0.000 0.000 1
Te2 0.667 0.333 0.073 1
Te3 0.333 0.667 0.927 1
Se2 0.096 0.904 0.750 1
In2 0.744 0.256 0.750 1
Pb2 0.000 0.000 0.500 1
Ag1 0.530 0.470 0.250 1
Te4 0.333 0.667 0.573 1
Ag2 0.470 0.530 0.750 1
```

Values from the calculation:
V in Å³/f.u.: 169.03
Raw total energy in eV per formula unit: -20.1
Density in g/cm3: 7.5

The following is a DFT calculation (PBE-GGA) of an optimized crystal structure of Pr3In3AgPd2.

CIF file:
```
data_Pr3In3AgPd2
_chemical_formula_sum 'Pr3 In3 Ag1 Pd2'
_symmetry_space_group_name_H-M 'P 1'
_symmetry_Int_Tables_number 1
_symmetry_space_group_name_Hall 'P 1'
_cell_length_a 7.805
_cell_length_b 7.805
_cell_length_c 4.132
_cell_angle_alpha 90.00
_cell_angle_beta 90.00
_cell_angle_gamma 120.00
loop_
_atom_site_label
_atom_site_fract_x
_atom_site_fract_y
_atom_site_fract_z
_atom_site_occupancy
Pr1 0.416 0.000 0.000 1
In1 0.743 0.000 0.500 1
Pr2 0.584 0.584 0.000 1
Pd1 0.667 0.333 0.500 1
In2 0.000 0.743 0.500 1
Pd2 0.333 0.667 0.500 1
Ag1 0.000 0.000 0.000 1
In3 0.257 0.257 0.500 1
Pr3 0.000 0.416 0.000 1
```

Values from the calculation:
V in Å³/f.u.: 217.99
Raw total energy in eV per formula unit: -41.7
Density in g/cm3: 8.3
Size of the total moment in μB/atom: 0.000

The following is a DFT calculation (PBE-GGA) of an optimized crystal structure of Pr3In3AgPd2.

CIF file:
```
data_Pr3In3AgPd2
_chemical_formula_sum 'Pr3 In3 Ag1 Pd2'
_symmetry_space_group_name_H-M 'P 1'
_symmetry_Int_Tables_number 1
_symmetry_space_group_name_Hall 'P 1'
_cell_length_a 4.082
_cell_length_b 7.875
_cell_length_c 7.875
_cell_angle_alpha 120.10
_cell_angle_beta 90.00
_cell_angle_gamma 90.00
loop_
_atom_site_label
_atom_site_fract_x
_atom_site_fract_y
_atom_site_fract_z
_atom_site_occupancy
Pr1 0.000 0.414 0.000 1
Pd1 0.500 0.667 0.333 1
Pd2 0.500 0.333 0.667 1
Ag1 0.000 0.001 0.001 1
In1 0.500 0.741 0.999 1
Pr2 0.000 0.000 0.414 1
Pr3 0.000 0.586 0.586 1
In2 0.500 0.260 0.260 1
In3 0.500 0.999 0.741 1
```

Values from the calculation:
V in Å³/f.u.: 219.02
Raw total energy in eV per formula unit: -41.7
Density in g/cm3: 8.2
Size of the total moment in μB/atom: 0.001